(1)
Here is an optimized crystal structure of Sc2CuMo from the Alexandria database. Energies are from PBE.

Values from the calculation:
Calculated volume   73 Å³/f.u.
Energy of formation   4.4 kJ per mole of atoms
Spin magnetization   0.0 μB/f.u.
Total energy   -6.8516 eV per atom

The structure in CIF format:
```
data_Sc2CuMo
_space_group_name_H-M_alt 'C 1 m 1'
_space_group_IT_number 8
_cell_length_a 10.326
_cell_length_b 3.039
_cell_length_c 4.919
_cell_angle_alpha 90.00
_cell_angle_beta 109.91
_cell_angle_gamma 90.00
loop_
_space_group_symop_operation_xyz
'x,y,z'
'x,-y,z'
'x+1/2,y+1/2,z'
'x+1/2,-y+1/2,z'
loop_
_atom_site_label
_atom_site_type_symbol
_atom_site_fract_x
_atom_site_fract_y
_atom_site_fract_z
Sc1 Sc 0.000 0.000 0.000
Sc2 Sc 0.209 0.000 0.630
Cu1 Cu 0.467 0.000 0.498
Mo1 Mo 0.261 0.500 0.164
```



(2)
Here is an optimized crystal structure of ScCuMo3 from the Alexandria database. Energies are from PBE.

Values from the calculation:
Calculated volume   96 Å³/f.u.
Energy of formation   125.6 kJ per mole of atoms
Spin magnetization   0.0 μB/f.u.
Total energy   -7.2829 eV per atom

The structure in CIF format:
```
data_ScCuMo3
_space_group_name_H-M_alt 'P m -3 m'
_space_group_IT_number 221
_space_group_name_Hall '-P 4 2 3'
_cell_length_a 4.578
_cell_length_b 4.578
_cell_length_c 4.578
_cell_angle_alpha 90.00
_cell_angle_beta 90.00
_cell_angle_gamma 90.00
loop_
_atom_site_label
_atom_site_type_symbol
_atom_site_fract_x
_atom_site_fract_y
_atom_site_fract_z
Sc1 Sc 0.000 0.000 0.000
Cu1 Cu 0.500 0.500 0.500
Mo1 Mo 0.000 0.500 0.500
```



(3)
Here is an optimized crystal structure of ScCu2Mo from the Alexandria database. Energies are from PBE.

Values from the calculation:
Calculated volume   61 Å³/f.u.
Energy of formation   10.8 kJ per mole of atoms
Spin magnetization   0.0 μB/f.u.
Total energy   -6.2273 eV per atom

The structure in CIF format:
```
data_ScCu2Mo
_space_group_name_H-M_alt 'P 1 m 1'
_space_group_IT_number 6
_cell_length_a 2.973
_cell_length_b 4.394
_cell_length_c 4.650
_cell_angle_alpha 90.00
_cell_angle_beta 91.33
_cell_angle_gamma 90.00
loop_
_space_group_symop_operation_xyz
'x,y,z'
'x,-y,z'
loop_
_atom_site_label
_atom_site_type_symbol
_atom_site_fract_x
_atom_site_fract_y
_atom_site_fract_z
Sc1 Sc 0.000 0.000 0.000
Cu1 Cu 0.511 0.000 0.485
Cu2 Cu 0.512 0.500 0.117
Mo1 Mo 0.041 0.500 0.589
```



(4)
Here is an optimized crystal structure of Sc2CuMo from the Alexandria database. Energies are from PBE.

Values from the calculation:
Calculated volume   74 Å³/f.u.
Energy of formation   20.4 kJ per mole of atoms
Spin magnetization   0.0 μB/f.u.
Total energy   -6.6857 eV per atom

The structure in CIF format:
```
data_Sc2CuMo
_space_group_name_H-M_alt 'R -3 m'
_space_group_IT_number 166
_space_group_name_Hall '-R 3 2"'
_cell_length_a 3.0716
_cell_length_b 3.0716
_cell_length_c 27.0312
_cell_angle_alpha 90.00
_cell_angle_beta 90.00
_cell_angle_gamma 120.00
loop_
_atom_site_label
_atom_site_type_symbol
_atom_site_fract_x
_atom_site_fract_y
_atom_site_fract_z
Sc1 Sc 0.0000 0.0000 0.2485
Cu1 Cu 0.0000 0.0000 0.5000
Mo1 Mo 0.0000 0.0000 0.0000
```



(5)
Here is an optimized crystal structure of ScCu2Mo from the Alexandria database. Energies are from PBE.

Values from the calculation:
Calculated volume   62 Å³/f.u.
Energy of formation   32.7 kJ per mole of atoms
Spin magnetization   0.0 μB/f.u.
Total energy   -6.0003 eV per atom

The structure in CIF format:
```
data_ScCu2Mo
_space_group_name_H-M_alt 'R -3 m'
_space_group_IT_number 166
_space_group_name_Hall '-R 3 2"'
_cell_length_a 2.7939
_cell_length_b 2.7939
_cell_length_c 27.4732
_cell_angle_alpha 90.00
_cell_angle_beta 90.00
_cell_angle_gamma 120.00
loop_
_atom_site_label
_atom_site_type_symbol
_atom_site_fract_x
_atom_site_fract_y
_atom_site_fract_z
Sc1 Sc 0.0000 0.0000 0.0000
Cu1 Cu 0.0000 0.0000 0.2477
Mo1 Mo 0.0000 0.0000 0.5000
```



(6)
Here is an optimized crystal structure of ScCu2Mo from the Alexandria database. Energies are from PBE.

Values from the calculation:
Calculated volume   60 Å³/f.u.
Energy of formation   10.6 kJ per mole of atoms
Spin magnetization   0.0 μB/f.u.
Total energy   -6.2287 eV per atom

The structure in CIF format:
```
data_ScCu2Mo
_space_group_name_H-M_alt 'C m m m'
_space_group_IT_number 65
_space_group_name_Hall '-C 2 2'
_cell_length_a 5.637
_cell_length_b 7.713
_cell_length_c 2.768
_cell_angle_alpha 90.00
_cell_angle_beta 90.00
_cell_angle_gamma 90.00
loop_
_atom_site_label
_atom_site_type_symbol
_atom_site_fract_x
_atom_site_fract_y
_atom_site_fract_z
Sc1 Sc 0.000 0.000 0.000
Cu1 Cu 0.250 0.250 0.500
Mo1 Mo 0.000 0.500 0.000
```



(7)
Here is an optimized crystal structure of ScCu2Mo from the Alexandria database. Energies are from PBE.

Values from the calculation:
Calculated volume   61 Å³/f.u.
Energy of formation   13.1 kJ per mole of atoms
Spin magnetization   0.0 μB/f.u.
Total energy   -6.2030 eV per atom

The structure in CIF format:
```
data_ScCu2Mo
_space_group_name_H-M_alt 'C 1 m 1'
_space_group_IT_number 8
_cell_length_a 10.010
_cell_length_b 2.804
_cell_length_c 4.744
_cell_angle_alpha 90.00
_cell_angle_beta 114.07
_cell_angle_gamma 90.00
loop_
_space_group_symop_operation_xyz
'x,y,z'
'x,-y,z'
'x+1/2,y+1/2,z'
'x+1/2,-y+1/2,z'
loop_
_atom_site_label
_atom_site_type_symbol
_atom_site_fract_x
_atom_site_fract_y
_atom_site_fract_z
Sc1 Sc 0.000 0.000 0.000
Cu1 Cu 0.024 0.500 0.506
Cu2 Cu 0.240 0.000 0.847
Mo1 Mo 0.271 0.500 0.373
```



(8)
Here is an optimized crystal structure of ScCu2Mo from the Alexandria database. Energies are from PBE.

Values from the calculation:
Calculated volume   61 Å³/f.u.
Energy of formation   12.3 kJ per mole of atoms
Spin magnetization   0.0 μB/f.u.
Total energy   -6.2114 eV per atom

The structure in CIF format:
```
data_ScCu2Mo
_space_group_name_H-M_alt 'P 4/m m m'
_space_group_IT_number 123
_space_group_name_Hall '-P 4 2'
_cell_length_a 2.805
_cell_length_b 2.805
_cell_length_c 7.715
_cell_angle_alpha 90.00
_cell_angle_beta 90.00
_cell_angle_gamma 90.00
loop_
_atom_site_label
_atom_site_type_symbol
_atom_site_fract_x
_atom_site_fract_y
_atom_site_fract_z
Sc1 Sc 0.000 0.000 0.000
Cu1 Cu 0.500 0.500 0.260
Mo1 Mo 0.000 0.000 0.500
```



- energy of formation of number 6 (ScCu2Mo)?
  10.6 kJ per mole of atoms